# 1
A relaxed structure of BaP2Pt2, computed with PBE.

Crystal system = orthorhombic
Theoretical density = 9.35 g/cm3
Raw total energy = -57.44 eV for the cell shown
M_tot = 0.001 μB per atom

abc: 5.9824 5.9824 8.3542
angles: 90.00 90.00 135.57
Last column: nearest neighbours and their distance in Å.
Element x y z (fractional)
Ba: 0.0784 0.9216 0.7500  8 P 3.29-3.51, 10 Pt 3.45-3.64
Ba: 0.9216 0.0784 0.2500  8 P 3.29-3.51, 10 Pt 3.45-3.64
P: 0.2008 0.7992 0.1158  1 P 2.24, 3 Pt 2.39-2.45
P: 0.2008 0.7992 0.3842  1 P 2.24, 3 Pt 2.39-2.45
P: 0.7992 0.2008 0.6158  1 P 2.24, 3 Pt 2.39-2.45
P: 0.7992 0.2008 0.8842  1 P 2.24, 3 Pt 2.39-2.45
Pt: 0.3635 0.6365 0.5824  3 P 2.39-2.45
Pt: 0.3635 0.6365 0.9176  3 P 2.39-2.45
Pt: 0.6365 0.3635 0.0824  3 P 2.39-2.45
Pt: 0.6365 0.3635 0.4176  3 P 2.39-2.45


# 2
A relaxed structure of AcBeOs, computed with PBE.

Crystal system = cubic
Theoretical density = 9.41 g/cm3
M_tot = 0.185 μB per atom
Energy above the most stable polymorph in this dataset = 984.5 meV/atom

abc: 4.7378 4.7378 4.7378
angles: 60.00 60.00 60.00
Last column: nearest neighbours and their distance in Å.
Element x y z (fractional)
Ac: 0.0000 0.0000 0.0000  4 Be 2.90, 4 Os 2.90
Be: 0.7500 0.7500 0.7500  4 Ac 2.90
Os: 0.2500 0.2500 0.2500  4 Ac 2.90


- Which of these has the lowest theoretical density?
  BaP2Pt2


- The highest theoretical density belongs to which entry?
  AcBeOs


- Number 2 is which compound?
  AcBeOs